# RbY3Se4 PBE relaxed
data_RbY3Se4
_symmetry_space_group_name_H-M 'P 1'
_symmetry_Int_Tables_number 1
_cell_length_a 4.161
_cell_length_b 4.161
_cell_length_c 29.250
_cell_angle_alpha 90.00
_cell_angle_beta 90.00
_cell_angle_gamma 120.00
loop_
_symmetry_equiv_pos_as_xyz
'x,y,z'
loop_
_atom_site_label
_atom_site_fract_x
_atom_site_fract_y
_atom_site_fract_z
_atom_site_occupancy
Rb1 0.667 0.333 0.750 1
Rb2 0.333 0.667 0.250 1
Y1 0.000 0.000 0.000 1
Y2 0.333 0.667 0.613 1
Y3 0.667 0.333 0.387 1
Y4 0.333 0.667 0.887 1
Y5 0.000 0.000 0.500 1
Y6 0.667 0.333 0.113 1
Se1 0.333 0.667 0.056 1
Se2 0.667 0.333 0.556 1
Se3 0.333 0.667 0.444 1
Se4 0.000 0.000 0.167 1
Se5 0.667 0.333 0.944 1
Se6 0.000 0.000 0.333 1
Se7 0.000 0.000 0.667 1
Se8 0.000 0.000 0.833 1
# Raw total energy (eV per atom): -6.0386
# Symmetry: P6_3/mmc
# Formation energy (no corrections) (eV/atom): -1.75

# Rb2YSe2 PBE relaxed
data_Rb2YSe2
_symmetry_space_group_name_H-M 'P 1'
_symmetry_Int_Tables_number 1
_cell_length_a 8.014
_cell_length_b 8.014
_cell_length_c 5.312
_cell_angle_alpha 90.00
_cell_angle_beta 90.00
_cell_angle_gamma 90.00
loop_
_symmetry_equiv_pos_as_xyz
'x,y,z'
loop_
_atom_site_label
_atom_site_fract_x
_atom_site_fract_y
_atom_site_fract_z
_atom_site_occupancy
Se1 0.817 0.683 0.000 1
Se2 0.683 0.183 0.000 1
Se3 0.317 0.817 0.000 1
Se4 0.183 0.317 0.000 1
Rb1 0.642 0.858 0.500 1
Rb2 0.358 0.142 0.500 1
Rb3 0.142 0.642 0.500 1
Rb4 0.858 0.358 0.500 1
Y1 0.000 0.000 0.000 1
Y2 0.500 0.500 0.000 1
# Raw total energy (eV per atom): -4.1525
# Symmetry: P4/mbm
# Formation energy (no corrections) (eV/atom): -1.08

# Rb2Y3Se6 PBE relaxed
data_Rb2Y3Se6
_symmetry_space_group_name_H-M 'P 1'
_symmetry_Int_Tables_number 1
_cell_length_a 7.181
_cell_length_b 7.182
_cell_length_c 8.600
_cell_angle_alpha 82.00
_cell_angle_beta 73.83
_cell_angle_gamma 60.01
loop_
_symmetry_equiv_pos_as_xyz
'x,y,z'
loop_
_atom_site_label
_atom_site_fract_x
_atom_site_fract_y
_atom_site_fract_z
_atom_site_occupancy
Se1 0.731 0.000 0.806 1
Se2 0.065 0.333 0.806 1
Se3 0.269 0.000 0.194 1
Se4 0.398 0.667 0.806 1
Se5 0.602 0.333 0.194 1
Se6 0.935 0.667 0.194 1
Y1 0.000 0.000 0.000 1
Y2 0.334 0.333 0.000 1
Y3 0.666 0.667 0.000 1
Rb1 0.833 0.333 0.500 1
Rb2 0.167 0.667 0.500 1
# Raw total energy (eV per atom): -5.4913
# Symmetry: C2/m
# Formation energy (no corrections) (eV/atom): -1.65

# Rb3YSe3 PBE relaxed
data_Rb3YSe3
_symmetry_space_group_name_H-M 'P 1'
_symmetry_Int_Tables_number 1
_cell_length_a 8.755
_cell_length_b 8.755
_cell_length_c 8.474
_cell_angle_alpha 95.50
_cell_angle_beta 95.50
_cell_angle_gamma 114.13
loop_
_symmetry_equiv_pos_as_xyz
'x,y,z'
loop_
_atom_site_label
_atom_site_fract_x
_atom_site_fract_y
_atom_site_fract_z
_atom_site_occupancy
Rb1 0.384 0.384 0.636 1
Rb2 0.751 0.249 0.000 1
Rb3 0.616 0.616 0.364 1
Rb4 0.249 0.751 0.000 1
Rb5 0.819 0.181 0.500 1
Rb6 0.181 0.819 0.500 1
Se1 0.099 0.099 0.809 1
Se2 0.162 0.461 0.275 1
Se3 0.539 0.838 0.725 1
Se4 0.838 0.539 0.725 1
Se5 0.901 0.901 0.191 1
Se6 0.461 0.162 0.275 1
Y1 0.820 0.820 0.858 1
Y2 0.180 0.180 0.142 1
# Raw total energy (eV per atom): -4.2411
# Symmetry: C2/m
# Formation energy (no corrections) (eV/atom): -1.41

# RbYZnSe3 PBE relaxed
data_RbYZnSe3
_symmetry_space_group_name_H-M 'P 1'
_symmetry_Int_Tables_number 1
_cell_length_a 4.165
_cell_length_b 9.395
_cell_length_c 10.060
_cell_angle_alpha 109.61
_cell_angle_beta 90.00
_cell_angle_gamma 90.00
loop_
_symmetry_equiv_pos_as_xyz
'x,y,z'
loop_
_atom_site_label
_atom_site_fract_x
_atom_site_fract_y
_atom_site_fract_z
_atom_site_occupancy
Se1 0.250 0.801 0.461 1
Se2 0.750 0.467 0.158 1
Se3 0.750 0.884 0.141 1
Se4 0.250 0.533 0.842 1
Se5 0.750 0.199 0.539 1
Se6 0.250 0.116 0.859 1
Rb1 0.250 0.211 0.238 1
Rb2 0.750 0.789 0.762 1
Y1 0.750 0.331 0.861 1
Y2 0.250 0.669 0.139 1
Zn1 0.250 0.083 0.608 1
Zn2 0.750 0.917 0.392 1
# Raw total energy (eV per atom): -4.5874
# Symmetry: P2_1/m
# Formation energy (no corrections) (eV/atom): -1.39

# Rb2YZn2Se4 PBE relaxed
data_Rb2YZn2Se4
_symmetry_space_group_name_H-M 'P 1'
_symmetry_Int_Tables_number 1
_cell_length_a 4.120
_cell_length_b 8.372
_cell_length_c 8.422
_cell_angle_alpha 111.69
_cell_angle_beta 104.16
_cell_angle_gamma 90.00
loop_
_symmetry_equiv_pos_as_xyz
'x,y,z'
loop_
_atom_site_label
_atom_site_fract_x
_atom_site_fract_y
_atom_site_fract_z
_atom_site_occupancy
Rb1 0.129 0.559 0.258 1
Rb2 0.871 0.441 0.742 1
Y1 0.000 0.000 0.000 1
Zn1 0.685 0.007 0.369 1
Zn2 0.315 0.993 0.631 1
Se1 0.190 0.195 0.380 1
Se2 0.810 0.805 0.620 1
Se3 0.470 0.216 0.939 1
Se4 0.530 0.784 0.061 1
# Raw total energy (eV per atom): -3.8627
# Symmetry: C2/m
# Formation energy (no corrections) (eV/atom): -1.10